The following is a PBE calculation of a relaxed YAgOs4 crystal, from the Alexandria database.

a = 5.284 Å, b = 5.284 Å, c = 5.284 Å
α = 60.00°, β = 60.00°, γ = 60.00°
Sites, in units of the cell vectors:
Y  0.000  0.000  0.000
Ag  0.750  0.750  0.750
Os  0.375  0.375  0.375
Os  0.375  0.375  0.874
Os  0.375  0.874  0.375
Os  0.874  0.375  0.375

final energy	-52.718	eV/f.u.
D(E_F)	1.47	states/eV/atom
space group	No. 216